(1)
A relaxed MgZnCu crystal, computed with PBEsol.

Values from the calculation:
Its energy of formation from the pure elements is -91.1 meV/atom. The uncorrected energy comes out at -2.64 eV/atom.

Unit cell a=3.102 b=3.102 c=9.113 alpha=90.00 beta=90.00 gamma=90.00
Fractional coordinates of all 6 atoms:
Mg 0.000 0.000 0.000
Mg 0.500 0.500 0.500
Zn 0.000 0.000 0.691
Zn 0.500 0.500 0.191
Cu 0.000 0.000 0.324
Cu 0.500 0.500 0.824

(2)
A relaxed Mg3Zn2Cu crystal, computed with PBEsol.

Values from the calculation:
Its energy of formation from the pure elements is -55.4 meV/atom. The uncorrected energy comes out at -2.16 eV/atom.

Unit cell a=6.398 b=6.398 c=5.087 alpha=90.00 beta=90.00 gamma=101.28
Fractional coordinates of all 12 atoms:
Mg 0.060 0.595 0.250
Mg 0.077 0.923 0.750
Mg 0.405 0.940 0.250
Mg 0.595 0.060 0.750
Mg 0.923 0.077 0.250
Mg 0.940 0.405 0.750
Zn 0.323 0.323 0.000
Zn 0.323 0.323 0.500
Zn 0.677 0.677 0.000
Zn 0.677 0.677 0.500
Cu 0.335 0.665 0.750
Cu 0.665 0.335 0.250

(3)
A relaxed MgZn2Cu2 crystal, computed with PBEsol.

Values from the calculation:
The energy above the most stable polymorph in this dataset is 0.00 eV/f.u. Its energy of formation from the pure elements is -93.1 meV/atom. The uncorrected energy comes out at -2.80 eV/atom.

Unit cell a=4.235 b=4.235 c=13.001 alpha=90.00 beta=90.00 gamma=120.00
Fractional coordinates of all 15 atoms:
Mg 0.000 0.000 0.000
Mg 0.333 0.667 0.667
Mg 0.667 0.333 0.333
Zn 0.000 0.000 0.211
Zn 0.000 0.000 0.789
Zn 0.333 0.667 0.456
Zn 0.333 0.667 0.877
Zn 0.667 0.333 0.123
Zn 0.667 0.333 0.544
Cu 0.000 0.000 0.407
Cu 0.000 0.000 0.593
Cu 0.333 0.667 0.074
Cu 0.333 0.667 0.260
Cu 0.667 0.333 0.740
Cu 0.667 0.333 0.926

(4)
A relaxed MgZn2Cu2 crystal, computed with PBEsol.

Values from the calculation:
The energy above the most stable polymorph in this dataset is 0.10 eV/f.u. Its energy of formation from the pure elements is -72.9 meV/atom. The uncorrected energy comes out at -2.78 eV/atom.

Unit cell a=2.754 b=4.206 c=11.902 alpha=90.00 beta=90.00 gamma=90.00
Fractional coordinates of all 10 atoms:
Mg 0.250 0.250 0.248
Mg 0.750 0.750 0.752
Zn 0.250 0.250 0.644
Zn 0.250 0.750 0.968
Zn 0.750 0.250 0.032
Zn 0.750 0.750 0.356
Cu 0.250 0.250 0.849
Cu 0.250 0.750 0.534
Cu 0.750 0.250 0.466
Cu 0.750 0.750 0.151

(5)
A relaxed MgZn2Cu3 crystal, computed with PBEsol.

Values from the calculation:
Its energy of formation from the pure elements is -92.0 meV/atom. The uncorrected energy comes out at -3.07 eV/atom.

Unit cell a=4.139 b=4.139 c=10.809 alpha=90.00 beta=90.00 gamma=120.00
Fractional coordinates of all 12 atoms:
Mg 0.000 0.000 0.250
Mg 0.000 0.000 0.750
Zn 0.333 0.667 0.095
Zn 0.333 0.667 0.405
Zn 0.667 0.333 0.595
Zn 0.667 0.333 0.905
Cu 0.000 0.000 0.000
Cu 0.000 0.000 0.500
Cu 0.333 0.667 0.633
Cu 0.333 0.667 0.867
Cu 0.667 0.333 0.133
Cu 0.667 0.333 0.367

(6)
A relaxed MgZn2Cu2 crystal, computed with PBEsol.

Values from the calculation:
The energy above the most stable polymorph in this dataset is 0.03 eV/f.u. Its energy of formation from the pure elements is -86.7 meV/atom. The uncorrected energy comes out at -2.80 eV/atom.

Unit cell a=6.969 b=6.969 c=2.845 alpha=90.00 beta=90.00 gamma=90.00
Fractional coordinates of all 10 atoms:
Mg 0.000 0.000 0.000
Mg 0.500 0.500 0.000
Zn 0.128 0.372 0.000
Zn 0.372 0.872 0.000
Zn 0.628 0.128 0.000
Zn 0.872 0.628 0.000
Cu 0.169 0.669 0.500
Cu 0.331 0.169 0.500
Cu 0.669 0.831 0.500
Cu 0.831 0.331 0.500

(7)
A relaxed MgZnCu2 crystal, computed with PBEsol.

Values from the calculation:
Its energy of formation from the pure elements is -55.7 meV/atom. The uncorrected energy comes out at -3.05 eV/atom.

Unit cell a=2.715 b=19.065 c=4.245 alpha=90.00 beta=90.00 gamma=90.00
Fractional coordinates of all 16 atoms:
Mg 0.000 0.092 0.250
Mg 0.000 0.908 0.750
Mg 0.500 0.408 0.750
Mg 0.500 0.592 0.250
Zn 0.000 0.339 0.250
Zn 0.000 0.661 0.750
Zn 0.500 0.161 0.750
Zn 0.500 0.839 0.250
Cu 0.000 0.272 0.750
Cu 0.000 0.467 0.250
Cu 0.000 0.533 0.750
Cu 0.000 0.728 0.250
Cu 0.500 0.033 0.750
Cu 0.500 0.228 0.250
Cu 0.500 0.772 0.750
Cu 0.500 0.967 0.250

(8)
A relaxed Mg2Zn2Cu crystal, computed with PBEsol.

Values from the calculation:
The energy above the most stable polymorph in this dataset is 0.12 eV/f.u. Its energy of formation from the pure elements is -73.9 meV/atom. The uncorrected energy comes out at -2.26 eV/atom.

Unit cell a=7.099 b=7.099 c=5.396 alpha=90.00 beta=90.00 gamma=144.09
Fractional coordinates of all 10 atoms:
Mg 0.069 0.931 0.500
Mg 0.327 0.673 0.723
Mg 0.673 0.327 0.223
Mg 0.931 0.069 0.000
Zn 0.287 0.713 0.229
Zn 0.464 0.536 0.332
Zn 0.536 0.464 0.832
Zn 0.713 0.287 0.729
Cu 0.141 0.859 0.952
Cu 0.859 0.141 0.452

(9)
A relaxed Mg3Zn7Cu2 crystal, computed with PBEsol.

Values from the calculation:
Its energy of formation from the pure elements is -127.3 meV/atom. The uncorrected energy comes out at -2.20 eV/atom.

Unit cell a=8.807 b=8.807 c=8.807 alpha=33.18 beta=33.18 gamma=33.18
Fractional coordinates of all 12 atoms:
Mg 0.000 0.000 0.000
Mg 0.144 0.144 0.144
Mg 0.856 0.856 0.856
Zn 0.080 0.583 0.583
Zn 0.417 0.417 0.920
Zn 0.417 0.920 0.417
Zn 0.500 0.500 0.500
Zn 0.583 0.080 0.583
Zn 0.583 0.583 0.080
Zn 0.920 0.417 0.417
Cu 0.333 0.333 0.333
Cu 0.667 0.667 0.667

(10)
A relaxed Mg2Zn2Cu crystal, computed with PBEsol.

Values from the calculation:
The energy above the most stable polymorph in this dataset is 0.46 eV/f.u. Its energy of formation from the pure elements is -6.3 meV/atom. The uncorrected energy comes out at -2.19 eV/atom.

Unit cell a=10.193 b=2.979 c=5.977 alpha=90.00 beta=113.13 gamma=90.00
Fractional coordinates of all 10 atoms:
Mg 0.132 0.000 0.279
Mg 0.368 0.500 0.721
Mg 0.632 0.500 0.279
Mg 0.868 0.000 0.721
Zn 0.164 0.000 0.825
Zn 0.336 0.500 0.175
Zn 0.664 0.500 0.825
Zn 0.836 0.000 0.175
Cu 0.000 0.500 0.500
Cu 0.500 0.000 0.500

(11)
A relaxed MgZn2Cu crystal, computed with PBEsol.

Values from the calculation:
Its energy of formation from the pure elements is -69.1 meV/atom. The uncorrected energy comes out at -2.37 eV/atom.

Unit cell a=3.073 b=3.073 c=6.145 alpha=90.00 beta=90.00 gamma=90.00
Fractional coordinates of all 4 atoms:
Mg 0.000 0.000 0.000
Zn 0.500 0.500 0.286
Zn 0.500 0.500 0.714
Cu 0.000 0.000 0.500

(12)
A relaxed MgZn2Cu crystal, computed with PBEsol.

Values from the calculation:
Its energy of formation from the pure elements is 54.7 meV/atom. The uncorrected energy comes out at -2.25 eV/atom.

Unit cell a=2.828 b=2.828 c=25.796 alpha=90.00 beta=90.00 gamma=120.00
Fractional coordinates of all 12 atoms:
Mg 0.000 0.000 0.000
Mg 0.333 0.667 0.667
Mg 0.667 0.333 0.333
Zn 0.000 0.000 0.242
Zn 0.000 0.000 0.758
Zn 0.333 0.667 0.424
Zn 0.333 0.667 0.909
Zn 0.667 0.333 0.091
Zn 0.667 0.333 0.576
Cu 0.000 0.000 0.500
Cu 0.333 0.667 0.167
Cu 0.667 0.333 0.833

Please write out number 9 again, unchanged.
A relaxed Mg3Zn7Cu2 crystal, computed with PBEsol.

Values from the calculation:
Its energy of formation from the pure elements is -127.3 meV/atom. The uncorrected energy comes out at -2.20 eV/atom.

Unit cell a=8.807 b=8.807 c=8.807 alpha=33.18 beta=33.18 gamma=33.18
Fractional coordinates of all 12 atoms:
Mg 0.000 0.000 0.000
Mg 0.144 0.144 0.144
Mg 0.856 0.856 0.856
Zn 0.080 0.583 0.583
Zn 0.417 0.417 0.920
Zn 0.417 0.920 0.417
Zn 0.500 0.500 0.500
Zn 0.583 0.080 0.583
Zn 0.583 0.583 0.080
Zn 0.920 0.417 0.417
Cu 0.333 0.333 0.333
Cu 0.667 0.667 0.667

> Look up the uncorrected energy of the tenth one.

-2.19 eV/atom